This record from Alexandria describes a relaxed structure of PmNpRh. The functional is PBE.

abc: 3.4319 6.6192 7.0991
angles: 81.62 61.02 89.99
Each line ends with the local moment (μB).
Atoms (fractional coordinates):
Rh  0.5894  0.0464  0.6602  -0.07
Rh  0.4106  0.9536  0.3398  -0.07
Pm  0.1842  0.2350  0.0666  0.02
Pm  0.8158  0.7650  0.9334  0.02
Np  0.7882  0.6358  0.4616  1.41
Np  0.2118  0.3642  0.5384  1.41

Summary:
DFT total energy (eV per atom): -8.568
Formation enthalpy at 0 K (eV/atom): -0.220
Crystal system: triclinic
Density (g/cm3): 11.6

This record from Alexandria describes a relaxed structure of Pm2Np2Rh15. The functional is PBE.

abc: 6.9159 6.9159 6.9159
angles: 82.10 82.10 82.10
Atoms (fractional coordinates):
Rh  0.6594  0.1565  0.6594
Rh  0.8435  0.3406  0.3406
Rh  0.3126  0.6874  0.0000
Rh  0.6874  0.0000  0.3126
Rh  0.3406  0.3406  0.8435
Rh  0.3126  0.0000  0.6874
Rh  0.5000  0.0000  0.0000
Rh  0.0000  0.6874  0.3126
Rh  0.1565  0.6594  0.6594
Rh  0.0000  0.5000  0.0000
Rh  0.6594  0.6594  0.1565
Rh  0.0000  0.0000  0.5000
Rh  0.6874  0.3126  0.0000
Rh  0.3406  0.8435  0.3406
Rh  0.0000  0.3126  0.6874
Np  0.0856  0.0856  0.0856
Np  0.9144  0.9144  0.9144
Pm  0.3536  0.3536  0.3536
Pm  0.6464  0.6464  0.6464

Summary:
DFT total energy (eV per atom): -7.971
Formation enthalpy at 0 K (eV/atom): -0.305
Crystal system: trigonal
Density (g/cm3): 11.9

This record from Alexandria describes a relaxed structure of PmNpRuRh. The functional is PBE.

abc: 4.8684 4.8684 4.8684
angles: 60.00 60.00 60.00
Each line ends with the local moment (μB).
Atoms (fractional coordinates):
Np  0.5000  0.5000  0.5000  3.54
Ru  0.7500  0.7500  0.7500  -0.43
Pm  0.0000  0.0000  0.0000  0.07
Rh  0.2500  0.2500  0.2500  -0.25

Summary:
DFT total energy (eV per atom): -8.787
Formation enthalpy at 0 K (eV/atom): -0.207
Crystal system: cubic
Density (g/cm3): 11.9

This record from Alexandria describes a relaxed structure of Pm2NpSb3Rh4. The functional is PBE.

abc: 4.4211 4.4211 11.2962
angles: 90.00 90.00 90.00
Each line ends with the local moment (μB).
Atoms (fractional coordinates):
Sb  0.0000  0.5000  0.1307  0.01
Sb  0.0000  0.0000  0.5000  -0.04
Sb  0.5000  0.0000  0.8693  0.01
Rh  0.0000  0.0000  0.0000  0.15
Rh  0.0000  0.5000  0.3585  -0.11
Rh  0.5000  0.0000  0.6415  -0.11
Rh  0.5000  0.5000  0.0000  0.15
Np  0.5000  0.5000  0.5000  3.56
Pm  0.0000  0.5000  0.7747  0.06
Pm  0.5000  0.0000  0.2253  0.06

Summary:
DFT total energy (eV per atom): -7.140
ΔE_f (raw) (eV per atom): -0.718
Crystal system: tetragonal
Density (g/cm3): 9.8

This record from Alexandria describes a relaxed structure of PmNpRu2. The functional is PBE.

abc: 4.8425 4.8425 4.8425
angles: 60.00 60.00 60.00
Each line ends with the local moment (μB).
Atoms (fractional coordinates):
Pm  0.5000  0.5000  0.5000  0.08
Ru  0.2500  0.2500  0.2500  -0.39
Ru  0.7500  0.7500  0.7500  -0.39
Np  0.0000  0.0000  0.0000  3.43

Summary:
DFT total energy (eV per atom): -9.095
E above lowest polymorph (eV/atom): 0.103
Formation enthalpy at 0 K (eV/atom): -0.034
Crystal system: cubic
Density (g/cm3): 12.1

This record from Alexandria describes a relaxed structure of PmNp2Ru3. The functional is PBE.

abc: 6.5680 6.2995 6.2995
angles: 100.62 90.00 90.00
Each line ends with the local moment (μB).
Atoms (fractional coordinates):
Np  0.5000  0.2099  0.7901  2.73
Np  0.5000  0.7901  0.2099  2.73
Np  0.0000  0.7901  0.2099  2.73
Np  0.0000  0.2099  0.7901  2.73
Ru  0.2500  0.5041  0.8094  -0.37
Ru  0.7500  0.4959  0.1906  -0.37
Ru  0.7500  0.1906  0.4959  -0.37
Ru  0.7500  0.0632  0.0632  -0.42
Ru  0.2500  0.8094  0.5041  -0.37
Ru  0.2500  0.9368  0.9368  -0.42
Pm  0.7500  0.6841  0.6841  0.09
Pm  0.2500  0.3159  0.3159  0.09

Summary:
DFT total energy (eV per atom): -9.755
Formation enthalpy at 0 K (eV/atom): -0.012
Crystal system: orthorhombic
Density (g/cm3): 12.0

This record from Alexandria describes a relaxed structure of PmNpRu2. The functional is PBE.

abc: 3.3311 3.3311 7.2757
angles: 90.00 90.00 90.00
Each line ends with the local moment (μB).
Atoms (fractional coordinates):
Ru  0.0000  0.0000  0.7914  -0.38
Ru  0.0000  0.0000  0.2086  -0.38
Pm  0.5000  0.5000  0.5000  0.10
Np  0.5000  0.5000  0.0000  2.94

Summary:
DFT total energy (eV per atom): -9.198
E above lowest polymorph (eV/atom): 0.000
Formation enthalpy at 0 K (eV/atom): -0.137
Crystal system: tetragonal
Density (g/cm3): 12.0

This record from Alexandria describes a relaxed structure of PmNpRu2. The functional is PBE.

abc: 3.4091 3.4091 8.4784
angles: 78.40 78.40 60.00
Each line ends with the local moment (μB).
Atoms (fractional coordinates):
Pm  0.5000  0.5000  0.5000  0.01
Ru  0.7366  0.7366  0.7902  -0.30
Ru  0.2634  0.2634  0.2098  -0.30
Np  0.0000  0.0000  0.0000  2.11

Summary:
DFT total energy (eV per atom): -8.977
E above lowest polymorph (eV/atom): 0.220
Formation enthalpy at 0 K (eV/atom): 0.083
Crystal system: trigonal
Density (g/cm3): 11.7

This record from Alexandria describes a relaxed structure of Pm3NpRu4. The functional is PBE.

abc: 6.3206 6.3206 6.3206
angles: 105.39 97.94 126.61
Atoms (fractional coordinates):
Np  0.0058  0.5000  0.5058
Ru  0.2297  0.6852  0.9149
Ru  0.0518  0.7640  0.2878
Ru  0.2297  0.3148  0.5445
Ru  0.5239  0.2360  0.2878
Pm  0.5797  0.7567  0.3364
Pm  0.5797  0.2433  0.8230
Pm  0.9507  0.0000  0.9507

Summary:
DFT total energy (eV per atom): -8.180
Formation enthalpy at 0 K (eV/atom): -0.143
Crystal system: orthorhombic
Density (g/cm3): 9.9

This record from Alexandria describes a relaxed structure of PmNpRu2. The functional is PBE.

abc: 6.1079 5.8251 5.8264
angles: 64.82 68.45 81.52
Each line ends with the local moment (μB).
Atoms (fractional coordinates):
Ru  0.4148  0.4575  0.3908  -0.30
Ru  0.0935  0.1994  0.3102  -0.29
Ru  0.4656  0.5075  0.8543  -0.27
Ru  0.1027  0.7614  0.2084  -0.30
Pm  0.6105  0.9821  0.2725  0.06
Pm  0.9326  0.6506  0.8318  0.09
Np  0.2538  0.0935  0.8025  2.61
Np  0.7679  0.3376  0.5691  2.24

Summary:
DFT total energy (eV per atom): -9.146
E above lowest polymorph (eV/atom): 0.052
Formation enthalpy at 0 K (eV/atom): -0.085
Crystal system: triclinic
Density (g/cm3): 11.1

This record from Alexandria describes a relaxed structure of PmNpSbRu. The functional is PBE.

abc: 5.0230 5.0230 5.0230
angles: 60.00 60.00 60.00
Each line ends with the local moment (μB).
Atoms (fractional coordinates):
Np  0.0000  0.0000  0.0000  4.29
Ru  0.5000  0.5000  0.5000  -0.10
Pm  0.7500  0.7500  0.7500  0.24
Sb  0.2500  0.2500  0.2500  0.04

Summary:
DFT total energy (eV per atom): -7.615
ΔE_f (raw) (eV per atom): 0.157
Crystal system: cubic
Density (g/cm3): 11.2

This record from Alexandria describes a relaxed structure of Pm3Np2S8. The functional is PBE.

abc: 6.7517 8.0414 8.1527
angles: 119.55 107.70 90.00
Each line ends with the local moment (μB).
Atoms (fractional coordinates):
S  0.4189  0.3591  0.2613  -0.06
S  0.4189  0.9022  0.2613  -0.06
S  0.0635  0.8803  0.7605  -0.03
S  0.1311  0.3929  0.7858  -0.05
S  0.5811  0.6409  0.7387  -0.06
S  0.8689  0.6071  0.2142  -0.05
S  0.9365  0.1197  0.2395  -0.03
S  0.5811  0.0978  0.7387  -0.06
Np  0.3420  0.2635  0.5270  3.60
Np  0.6580  0.7365  0.4730  3.60
Pm  0.0000  0.7372  0.0000  0.01
Pm  0.5000  0.0000  0.0000  0.01
Pm  0.0000  0.2628  0.0000  0.01

Summary:
DFT total energy (eV per atom): -7.251
ΔE_f (raw) (eV per atom): -1.623
E above lowest polymorph (eV/atom): 0.000
Crystal system: monoclinic
Density (g/cm3): 5.4

Question: Which value of DFT total energy does entry 7 give?
Answer: -9.198 eV per atom